Nd2MnHO6: optimized geometry, PBE+U.

Properties
**DOS at the Fermi energy**: 0.224 states/eV/atom
**E**: -6.93 eV per atom

abc: 5.4047 4.9029 5.6469
angles: 115.73 121.27 90.00
Last column: nearest neighbours and their distance in Å.
Positions (direct):
Nd 0.2540 0.2634 0.5267  7 O 2.33-2.53
Nd 0.7460 0.7366 0.4733  7 O 2.33-2.53
Mn 0.0000 0.5000 0.0000  6 O 1.90-1.94
H 0.5000 0.0000 0.0000  4 O 1.77
O 0.3031 0.7249 0.4497  1 Mn 1.90
O 0.2193 0.1996 0.9186  1 H 1.77, 1 Mn 1.94
O 0.7807 0.2810 0.0814  1 H 1.77, 1 Mn 1.94
O 0.2193 0.7190 0.9186  1 H 1.77, 1 Mn 1.94
O 0.7807 0.8004 0.0814  1 H 1.77, 1 Mn 1.94
O 0.6969 0.2751 0.5503  1 Mn 1.90